(1)
PBE-GGA CePu2Ir9, optimized geometry; energy relative to the elements = -0.48 eV per atom; symmetry = No. 166; DOS at the Fermi energy = 24.4 states/eV/f.u.; volume = 214.9 Å³/cell
1.0
5.3151 0.0000 0.0000
2.6576 4.6031 0.0000
2.6576 1.5344 8.7839
Ce Pu Ir
1 2 9
direct
0.0000 0.0000 0.0000 Ce
0.8601 0.8601 0.4196 Pu
0.1399 0.1399 0.5804 Pu
0.6665 0.6665 0.0005 Ir
0.3335 0.3335 0.9995 Ir
0.5000 0.5000 0.5000 Ir
0.4155 0.4155 0.2498 Ir
0.9191 0.4155 0.2498 Ir
0.4155 0.9191 0.2498 Ir
0.5845 0.5845 0.7502 Ir
0.5845 0.0809 0.7502 Ir
0.0809 0.5845 0.7502 Ir

(2)
PBE-GGA NbReC2, optimized geometry; energy relative to the elements = 0.64 eV per atom; symmetry = No. 225; offset from the most stable computed form = 269.9 meV per atom; DOS at the Fermi energy = 1.0 states/eV/f.u.; volume = 41.5 Å³/cell
1.0
-1.4681 -3.5340 -0.6784
-3.8499 -0.5064 -0.1630
-1.7163 -0.7713 -3.4006
Re Nb C
1 1 2
direct
0.5000 0.5000 0.5000 Re
0.0000 0.0000 0.0000 Nb
0.2500 0.2500 0.2500 C
0.7500 0.7500 0.7500 C

> Which of these has the lowest DOS at the Fermi energy?

NbReC2